The following is a DFT calculation (PBE) of crystalline PrDy2Fe9 at its relaxed geometry.

Geometry as extended XYZ:
```
12
Lattice="4.9302 0.0000 1.4673 2.2467 4.3885 1.4673 0.1132 0.0692 8.6362" Properties=species:S:1:pos:R:3 pbc="T T T"
Fe 3.0285 1.8518 3.3657
Dy 6.2041 3.7936 6.2034
Fe 2.3877 1.4600 0.9936
Fe 3.6451 2.2288 5.7854
Fe 4.2616 2.6059 8.2051
Fe 5.4844 1.8518 4.0966
Fe 4.1477 4.0379 4.0966
Pr 0.0000 0.0000 0.0000
Fe 4.9024 2.9977 10.5772
Fe 3.1424 0.4198 7.4742
Dy 1.0860 0.6641 5.3674
Fe 1.8057 2.6059 7.4742
```

Summary:
- space-group type = R-3m
- ΔH_f (0 K) (eV/atom) = -0.020
- E_tot (eV/atom) = -7.533
- theoretical density (g cm⁻³) = 8.7


The following is a DFT calculation (PBE) of crystalline Mn2TcHRu at its relaxed geometry.

Geometry as extended XYZ:
```
5
Lattice="-2.4014 -0.7385 2.7763 -2.0315 -2.1918 -2.3402 2.0585 -2.9664 0.9914" Properties=species:S:1:pos:R:3 pbc="T T T"
Mn -1.2007 -0.3693 1.3882
Mn 1.0292 -1.4832 0.4957
Ru -1.1872 -2.9484 0.7138
H 0.0000 0.0000 0.0000
Tc -1.0157 -1.0959 -1.1701
```

Summary:
- space-group type = P4/mmm
- E_tot (eV/atom) = -8.198
- theoretical density (g cm⁻³) = 9.7


The following is a DFT calculation (PBE) of crystalline Cd7Ag3Hg at its relaxed geometry.

Geometry as extended XYZ:
```
11
Lattice="-4.3405 2.6504 1.8849 -0.2770 -7.0639 1.8012 5.6812 0.7663 4.5118" Properties=species:S:1:pos:R:3 pbc="T T T"
Ag 1.0635 -5.3022 2.4111
Cd -0.9110 -4.6406 4.8152
Cd 1.9746 0.9934 3.3827
Cd 0.3991 -0.7900 1.4048
Ag -2.1703 1.3252 0.9424
Cd 0.6646 -2.8572 6.7931
Hg 0.5318 -1.8236 4.0990
Cd 2.7021 -3.1488 3.1565
Cd -1.3103 -3.3236 1.8884
Cd 2.3740 -0.3236 6.3095
Ag 4.3407 -0.9954 3.9019
```

Summary:
- space-group type = C2/m
- ΔH_f (0 K) (eV/atom) = 0.060
- E_tot (eV/atom) = -1.327
- theoretical density (g cm⁻³) = 8.7


The following is a DFT calculation (PBE) of crystalline Pu2SnAu3 at its relaxed geometry.

Geometry as extended XYZ:
```
6
Lattice="-1.9067 1.6779 1.9698 0.7332 -3.2921 3.5139 6.7936 4.4689 2.7693" Properties=species:S:1:pos:R:3 pbc="T T T"
Sn 1.6408 0.6583 3.6499
Pu 7.0646 2.7599 4.4873
Au 3.9249 2.1607 4.5810
Au 4.7369 4.5821 3.3045
Pu 3.5155 2.3125 1.4331
Au 0.1812 1.5853 1.4474
```

Summary:
- space-group type = Pmm2
- ΔH_f (0 K) (eV/atom) = -0.478
- E_tot (eV/atom) = -7.561
- theoretical density (g cm⁻³) = 14.8


The following is a DFT calculation (PBE) of crystalline KSr4As at its relaxed geometry.

Geometry as extended XYZ:
```
6
Lattice="0.0000 5.3041 5.3041 5.3041 0.0000 5.3041 5.3041 5.3041 0.0000" Properties=species:S:1:pos:R:3 pbc="T T T"
Sr 3.9919 3.9919 3.9919
Sr 3.9919 6.6164 6.6164
As 7.9562 7.9562 7.9562
K 0.0000 0.0000 0.0000
Sr 6.6164 3.9919 6.6164
Sr 6.6164 6.6164 3.9919
```

Summary:
- space-group type = F-43m
- ΔH_f (0 K) (eV/atom) = 0.331
- E_tot (eV/atom) = -1.748
- theoretical density (g cm⁻³) = 2.6


The following is a DFT calculation (PBE) of crystalline NaTiCd2 at its relaxed geometry.

Geometry as extended XYZ:
```
4
Lattice="3.7394 -3.0252 -1.0001 0.9649 -3.7824 2.9828 -0.8896 -4.5949 -1.4933" Properties=species:S:1:pos:R:3 pbc="T T T"
Cd 2.8610 -8.5519 0.3670
Na 0.0000 0.0000 0.0000
Cd 0.9537 -2.8506 0.1223
Ti 1.9073 -5.7013 0.2447
```

Summary:
- space-group type = Fm-3m
- ΔH_f (0 K) (eV/atom) = 0.208
- E_tot (eV/atom) = -2.553
- theoretical density (g cm⁻³) = 5.9


The following is a DFT calculation (PBE) of crystalline LiP2Pb at its relaxed geometry.

Geometry as extended XYZ:
```
4
Lattice="-4.0951 7.9203 -2.2900 -6.6379 6.1669 -1.6284 -5.0874 7.6406 0.6958" Properties=species:S:1:pos:R:3 pbc="T T T"
Li -11.8653 16.2958 -2.4170
Pb -3.9551 5.4319 -0.8057
P -0.2030 0.2788 -0.0413
P -7.7072 10.5851 -1.5700
```

Summary:
- space-group type = R-3m
- ΔH_f (0 K) (eV/atom) = 0.324
- E_tot (eV/atom) = -3.786
- theoretical density (g cm⁻³) = 5.9


The following is a DFT calculation (PBE) of crystalline LaInHg2 at its relaxed geometry.

Geometry as extended XYZ:
```
4
Lattice="-2.4371 -3.2189 -2.9374 2.2270 0.5955 -2.5002 3.7127 -4.7946 2.1737" Properties=species:S:1:pos:R:3 pbc="T T T"
Hg 2.4359 -2.2771 0.4743
Hg 4.2466 -4.6171 1.5362
La 3.2362 -4.7588 -1.7135
In 0.2664 -2.6592 -1.5503
```

Summary:
- space-group type = Pmmm
- ΔH_f (0 K) (eV/atom) = -0.338
- E_tot (eV/atom) = -2.406
- theoretical density (g cm⁻³) = 9.9


The following is a DFT calculation (PBE) of crystalline SbMoAs2H at its relaxed geometry.

Geometry as extended XYZ:
```
5
Lattice="-4.3552 1.4260 2.5616 1.5814 -0.6937 3.0748 1.7472 4.9460 0.2172" Properties=species:S:1:pos:R:3 pbc="T T T"
H 0.7907 -0.3468 1.5374
As -2.1776 0.7130 1.2808
Mo -0.5133 2.8392 2.9268
As 0.8736 2.4730 0.1086
Sb 0.0000 0.0000 0.0000
```

Summary:
- space-group type = P4/mmm
- E_tot (eV/atom) = -4.633
- theoretical density (g cm⁻³) = 6.3


The following is a DFT calculation (PBE) of crystalline Tl5PtAu2 at its relaxed geometry.

Geometry as extended XYZ:
```
16
Lattice="4.2373 0.0000 0.0000 0.0000 7.6750 0.0000 0.0000 0.0000 12.8640" Properties=species:S:1:pos:R:3 pbc="T T T"
Au 2.1186 4.1124 8.8064
Tl 0.0000 5.2008 2.4841
Au 2.1186 7.4001 2.3744
Pt 0.0000 3.8375 0.0000
Tl 2.1186 1.4032 7.6040
Tl 0.0000 2.4742 10.3799
Tl 2.1186 2.4343 1.1720
Au 2.1186 3.5626 4.0576
Tl 0.0000 6.3117 8.9160
Tl 2.1186 5.2407 11.6919
Tl 0.0000 3.8375 6.4320
Pt 0.0000 0.0000 6.4320
Tl 0.0000 0.0000 0.0000
Tl 0.0000 1.3633 3.9479
Tl 2.1186 6.2718 5.2599
Au 2.1186 0.2749 10.4895
```

Summary:
- space-group type = Pbam
- ΔH_f (0 K) (eV/atom) = -0.028
- E_tot (eV/atom) = -3.081
- theoretical density (g cm⁻³) = 12.8


The following is a DFT calculation (PBE) of crystalline BaNi3 at its relaxed geometry.

Geometry as extended XYZ:
```
4
Lattice="3.8235 0.0000 0.0000 0.0000 3.8235 0.0000 0.0000 0.0000 5.5895" Properties=species:S:1:pos:R:3 pbc="T T T"
Ni 1.9118 1.9118 3.9188
Ni 0.0000 1.9118 2.6917
Ba 0.0000 0.0000 0.0135
Ni 1.9118 0.0000 2.6918
```

Summary:
- space-group type = P4mm
- ΔH_f (0 K) (eV/atom) = 0.389
- E_tot (eV/atom) = -4.428
- theoretical density (g cm⁻³) = 6.4


The following is a DFT calculation (PBE) of crystalline ZrIr2Os at its relaxed geometry.

Geometry as extended XYZ:
```
4
Lattice="4.8709 -0.0009 0.0009 4.0389 2.7225 0.0009 0.8292 0.2533 4.8551" Properties=species:S:1:pos:R:3 pbc="T T T"
Ir 7.3143 2.2343 3.5341
Ir 0.8526 0.2604 4.8070
Os 4.8463 1.4804 2.6354
Zr 2.4244 0.7406 1.1640
```

Summary:
- space-group type = Cm
- ΔH_f (0 K) (eV/atom) = -0.294
- E_tot (eV/atom) = -9.669
- theoretical density (g cm⁻³) = 17.2


Q: Which value of theoretical density does entry 5 give?
A: 2.6 g cm⁻³


Q: Among the records above, which one has the highest theoretical density?
A: ZrIr2Os


Q: Which of these has the highest E_tot?
A: Cd7Ag3Hg


Q: Among the records above, which one has the lowest E_tot?
A: ZrIr2Os